(1)
Computed, not measured: PdINO2 after structural relaxation at the PBE-GGA level of DFT.

Properties
E: -3.940 eV per atom
N(E_F): 4.059 states/eV per cell
crystal system: tetragonal

Cell and atoms, written as CIF:
```
data_PdINO2
_cell_length_a 3.978
_cell_length_b 3.978
_cell_length_c 4.446
_cell_angle_alpha 90.00
_cell_angle_beta 90.00
_cell_angle_gamma 90.00
_space_group_name_H-M_alt 'P 4/m m m'
_space_group_IT_number 123
_space_group_name_Hall '-P 4 2'
loop_
_atom_site_label
_atom_site_type_symbol
_atom_site_fract_x
_atom_site_fract_y
_atom_site_fract_z
Pd1 Pd 0.000 0.000 0.000
I1 I 0.500 0.500 0.500
N1 N 0.500 0.500 0.000
O1 O 0.000 0.500 0.500
```

(2)
Computed, not measured: PdINO2 after structural relaxation at the PBE-GGA level of DFT.

Properties
E: -3.643 eV per atom
N(E_F): 4.039 states/eV per cell
crystal system: tetragonal

Cell and atoms, written as CIF:
```
data_PdINO2
_cell_length_a 3.860
_cell_length_b 3.860
_cell_length_c 4.353
_cell_angle_alpha 90.00
_cell_angle_beta 90.00
_cell_angle_gamma 90.00
_space_group_name_H-M_alt 'P 4/m m m'
_space_group_IT_number 123
_space_group_name_Hall '-P 4 2'
loop_
_atom_site_label
_atom_site_type_symbol
_atom_site_fract_x
_atom_site_fract_y
_atom_site_fract_z
Pd1 Pd 0.000 0.000 0.000
I1 I 0.500 0.500 0.000
N1 N 0.500 0.500 0.500
O1 O 0.000 0.500 0.500
```

(3)
Computed, not measured: PdINO2 after structural relaxation at the PBE-GGA level of DFT.

Properties
E: -3.992 eV per atom
N(E_F): 2.291 states/eV per cell
crystal system: tetragonal

Cell and atoms, written as CIF:
```
data_PdINO2
_cell_length_a 3.729
_cell_length_b 3.729
_cell_length_c 8.188
_cell_angle_alpha 90.00
_cell_angle_beta 90.00
_cell_angle_gamma 90.00
_space_group_name_H-M_alt 'P 4/m m m'
_space_group_IT_number 123
_space_group_name_Hall '-P 4 2'
loop_
_atom_site_label
_atom_site_type_symbol
_atom_site_fract_x
_atom_site_fract_y
_atom_site_fract_z
Pd1 Pd 0.000 0.000 0.000
I1 I 0.000 0.000 0.500
N1 N 0.500 0.500 0.500
O1 O 0.000 0.500 0.000
```

E_form (uncorrected) for every record listed, in sequence, given in kJ per mole of atoms: 101.9 130.6 96.9.